Compound: La5SbS4
Source: the Alexandria database
Functional: PBE
Structure: optimized geometry

abc: 4.2454 6.0582 21.2852
angles: 90.00 90.00 90.00
Last column: nearest neighbours and their distance in Å.
Space group Immm (No. 71)
Inequivalent atoms, fractional coordinates:
1 La 0.0000 0.0000 0.0000 (multiplicity 2)  4 S 3.03, 2 Sb 3.03
2 La 0.0000 0.0000 0.1994 (multiplicity 4)  6 S 2.95-3.03
3 La 0.0000 0.0000 0.3901 (multiplicity 4)  4 S 2.93-3.03, 2 Sb 3.16
4 Sb 0.0000 0.5000 0.0000 (multiplicity 2)  6 La 3.03-3.16
5 S 0.0000 0.5000 0.2047 (multiplicity 4)  6 La 2.93-3.03
6 S 0.0000 0.5000 0.3987 (multiplicity 4)  6 La 2.98-3.03

Values from the calculation:
calculated volume	273.7	Å³/f.u.
VASP energy	-129.384	eV/cell